# 1
A geometry-optimized Ca2Ga4IrAu3 structure. Source: the Alexandria database, functional GGA-PBE.

M_tot (μB per cell): 0.00
DFT formation energy (eV/f.u.): -5.54
Total energy (eV per atom): -4.034
Fermi-level density of states (states/eV/cell): 4.85

a b c (Å): 4.158 4.158 11.558
angles (deg): 90.00 90.00 90.00
Space group P-4m2 (No. 115)
Asymmetric unit:
1 Ca 0.000 0.500 0.242 (multiplicity 2)
2 Ga 0.000 0.000 0.500 (multiplicity 1)
3 Ga 0.000 0.500 0.870 (multiplicity 2)
4 Ga 0.500 0.500 0.500 (multiplicity 1)
5 Ir 0.500 0.500 0.000 (multiplicity 1)
6 Au 0.000 0.000 0.000 (multiplicity 1)
7 Au 0.000 0.500 0.649 (multiplicity 2)

---

# 2
A geometry-optimized KCaGa2Au5 structure. Source: the Alexandria database, functional GGA-PBE.

M_tot (μB per cell): 0.00
DFT formation energy (eV/f.u.): -3.13
Total energy (eV per atom): -3.186
Fermi-level density of states (states/eV/cell): 2.43

a b c (Å): 5.026 5.026 9.234
angles (deg): 90.00 90.00 90.00
Space group P4/mmm (No. 123)
Asymmetric unit:
1 K 0.000 0.000 0.000 (multiplicity 1)
2 Ca 0.000 0.000 0.500 (multiplicity 1)
3 Ga 0.500 0.500 0.277 (multiplicity 2)
4 Au 0.000 0.500 0.313 (multiplicity 4)
5 Au 0.500 0.500 0.000 (multiplicity 1)

---

# 3
A geometry-optimized K2CaGa3Au4 structure. Source: the Alexandria database, functional GGA-PBE.

M_tot (μB per cell): 0.00
DFT formation energy (eV/f.u.): -3.73
Total energy (eV per atom): -3.012
Fermi-level density of states (states/eV/cell): 5.18

a b c (Å): 4.716 4.716 11.137
angles (deg): 90.00 90.00 90.00
Space group P-4m2 (No. 115)
Asymmetric unit:
1 K 0.000 0.500 0.230 (multiplicity 2)
2 Ca 0.000 0.000 0.500 (multiplicity 1)
3 Ga 0.000 0.500 0.890 (multiplicity 2)
4 Ga 0.500 0.500 0.500 (multiplicity 1)
5 Au 0.000 0.000 0.000 (multiplicity 1)
6 Au 0.000 0.500 0.653 (multiplicity 2)
7 Au 0.500 0.500 0.000 (multiplicity 1)

---

# 4
A geometry-optimized LiCaGa2Au4 structure. Source: the Alexandria database, functional GGA-PBE.

M_tot (μB per cell): 0.00
DFT formation energy (eV/f.u.): -4.00
Total energy (eV per atom): -3.384
Fermi-level density of states (states/eV/cell): 9.17

a b c (Å): 4.5467 4.5467 24.9505
angles (deg): 90.00 90.00 120.00
Space group R-3m (No. 166, hexagonal axes)
Asymmetric unit:
1 Li 0.0000 0.0000 0.0000 (multiplicity 3)
2 Ca 0.0000 0.0000 0.5000 (multiplicity 3)
3 Ga 0.0000 0.0000 0.2555 (multiplicity 6)
4 Au 0.0000 0.0000 0.1027 (multiplicity 6)
5 Au 0.0000 0.0000 0.3671 (multiplicity 6)

---

# 5
A geometry-optimized LiCa2GaAu6 structure. Source: the Alexandria database, functional GGA-PBE.

M_tot (μB per cell): 0.00
DFT formation energy (eV/f.u.): -4.80
Total energy (eV per atom): -3.340
Fermi-level density of states (states/eV/cell): 3.10

a b c (Å): 5.509 6.776 7.075
angles (deg): 79.31 67.18 66.08
Space group P-1 (No. 2)
Asymmetric unit:
1 Li 0.000 0.000 0.000 (multiplicity 1)
2 Ca 0.257 0.276 0.210 (multiplicity 2)
3 Ga 0.500 0.500 0.500 (multiplicity 1)
4 Au 0.231 0.267 0.770 (multiplicity 2)
5 Au 0.246 0.901 0.607 (multiplicity 2)
6 Au 0.266 0.734 0.231 (multiplicity 2)

---

# 6
A geometry-optimized LiCaGaAu3 structure. Source: the Alexandria database, functional GGA-PBE.

M_tot (μB per cell): 0.00
DFT formation energy (eV/f.u.): -2.60
Total energy (eV per atom): -3.229
Fermi-level density of states (states/eV/cell): 9.17

a b c (Å): 6.639 12.203 6.050
angles (deg): 90.00 90.00 90.00
Space group Cmcm (No. 63)
Asymmetric unit:
1 Li 0.000 0.065 0.250 (multiplicity 4)
2 Ca 0.000 0.306 0.250 (multiplicity 4)
3 Ga 0.000 0.364 0.750 (multiplicity 4)
4 Au 0.000 0.156 0.750 (multiplicity 4)
5 Au 0.221 0.500 0.000 (multiplicity 8)

---

- M_tot of number 4 (LiCaGa2Au4)?
  0.00 μB per cell